Entry from the Alexandria database: a relaxed structure of ZnCuSe2 (GGA-PBEsol).

Results
Its uncorrected formation energy is 58 meV per atom.

a = 3.5100 Å, b = 6.9922 Å, c = 6.8306 Å
α = 90.00°, β = 90.00°, γ = 90.00°
Last column: nearest neighbours and their distance in Å.
Space group Cmmm (No. 65)
Asymmetric unit:
Zn 0.0000 0.0000 0.0000 x2  4 Se 2.50
Cu 0.0000 0.0000 0.5000 x2  4 Se 2.40
Se 0.0000 0.5000 0.2598 x4  2 Cu 2.40, 2 Zn 2.50

***

Entry from the Alexandria database: a relaxed structure of ZnCuSe3 (GGA-PBEsol).

Results
Its uncorrected formation energy is 494 meV per atom.

a = 4.7109 Å, b = 4.7109 Å, c = 4.7109 Å
α = 90.00°, β = 90.00°, γ = 90.00°
Last column: nearest neighbours and their distance in Å.
Space group Pm-3m (No. 221)
Asymmetric unit:
Zn 0.0000 0.0000 0.0000 x1  12 Se 3.33
Cu 0.5000 0.5000 0.5000 x1  6 Se 2.36
Se 0.0000 0.5000 0.5000 x3  2 Cu 2.36